Fe2AgRh: optimized geometry, PBE.

Output
Fermi-level density of states: 1.1265 states/eV per atom
Calculated formation energy: 0.2672 eV per atom
Uncorrected energy: -6.51 eV per atom

Cell and atoms, written as CIF:
```
data_Fe2AgRh
_chemical_formula_sum 'Fe4 Ag2 Rh2'
_cell_length_a 8.8425
_cell_length_b 2.7683
_cell_length_c 4.7363
_cell_angle_alpha 90.00
_cell_angle_beta 100.36
_cell_angle_gamma 90.00
_space_group_name_H-M_alt 'C 1 2/m 1'
_space_group_IT_number 12
loop_
_space_group_symop_operation_xyz
'x,y,z'
'-x,-y,-z'
'-x,y,-z'
'x,-y,z'
'x+1/2,y+1/2,z'
'-x+1/2,-y+1/2,-z'
'-x+1/2,y+1/2,-z'
'x+1/2,-y+1/2,z'
loop_
_atom_site_label
_atom_site_type_symbol
_atom_site_fract_x
_atom_site_fract_y
_atom_site_fract_z
_atom_site_occupancy
Fe1 Fe 0.2468 0.0000 0.2386 1
Ag1 Ag 0.0000 0.0000 0.5000 1
Rh1 Rh 0.0000 0.5000 0.0000 1
```